i.
An optimized crystal structure of Ta3RhCl. Source: Alexandria, functional PBE-GGA.

Properties
DOS(E_F)   6.0 states/eV/cell
Magnetization   0.000 μB per atom

Lattice parameters (Å, degrees): 4.8724 4.8724 4.8724 90.00 90.00 90.00
Fractional coordinates of all 5 atoms:
Ta 0.0000 0.0000 0.5000
Ta 0.0000 0.5000 0.0000
Ta 0.5000 0.0000 0.0000
Rh 0.0000 0.0000 0.0000
Cl 0.5000 0.5000 0.5000


ii.
An optimized crystal structure of Ta3RhCl. Source: Alexandria, functional PBE-GGA.

Properties
DOS(E_F)   5.9 states/eV/cell
Magnetization   0.000 μB per atom

Lattice parameters (Å, degrees): 4.4790 4.4790 4.4790 90.00 90.00 90.00
Fractional coordinates of all 5 atoms:
Ta 0.0000 0.0000 0.5000
Ta 0.0000 0.5000 0.0000
Ta 0.5000 0.0000 0.0000
Rh 0.5000 0.5000 0.5000
Cl 0.0000 0.0000 0.0000


Which structure is most stable, and how do the rest compare? From most to least stable: ii, i.


i.
An optimized crystal structure of TaV2RhCl. Source: Alexandria, functional PBE-GGA.

Properties
DOS(E_F)   10.4 states/eV/cell
Magnetization   0.000 μB per atom

Lattice parameters (Å, degrees): 4.7904 4.7904 4.7170 90.00 90.00 90.00
Fractional coordinates of all 5 atoms:
Ta 0.0000 0.0000 0.0000
V 0.0000 0.5000 0.0000
V 0.5000 0.0000 0.0000
Rh 0.0000 0.0000 0.5000
Cl 0.5000 0.5000 0.5000


ii.
An optimized crystal structure of TaV2RhCl. Source: Alexandria, functional PBE-GGA.

Properties
DOS(E_F)   5.9 states/eV/cell
Magnetization   0.505 μB per atom

Lattice parameters (Å, degrees): 4.2008 4.2008 4.5514 90.00 90.00 90.00
Fractional coordinates of all 5 atoms:
Ta 0.0000 0.0000 0.0000
V 0.0000 0.5000 0.5000
V 0.5000 0.0000 0.5000
Rh 0.5000 0.5000 0.0000
Cl 0.0000 0.0000 0.5000


Which structure is most stable, and how do the rest compare? From most to least stable: ii, i.


i.
An optimized crystal structure of Tb2RhCl. Source: Alexandria, functional PBE-GGA.

Properties
DOS(E_F)   2.6 states/eV/cell
Magnetization   0.000 μB per atom

Lattice parameters (Å, degrees): 3.9708 3.9708 22.2886 90.00 90.00 120.00
Fractional coordinates of all 12 atoms:
Tb 0.0000 0.0000 0.2342
Tb 0.0000 0.0000 0.7658
Tb 0.3333 0.6667 0.4325
Tb 0.3333 0.6667 0.9009
Tb 0.6667 0.3333 0.0991
Tb 0.6667 0.3333 0.5675
Rh 0.0000 0.0000 0.5000
Rh 0.3333 0.6667 0.1667
Rh 0.6667 0.3333 0.8333
Cl 0.0000 0.0000 0.0000
Cl 0.3333 0.6667 0.6667
Cl 0.6667 0.3333 0.3333


ii.
An optimized crystal structure of Tb2RhCl. Source: Alexandria, functional PBE-GGA.

Properties
DOS(E_F)   0.5 states/eV/cell
Magnetization   0.000 μB per atom

Lattice parameters (Å, degrees): 6.9579 4.0324 7.7636 90.00 90.02 90.00
Fractional coordinates of all 8 atoms:
Tb 0.0000 0.0000 0.0000
Tb 0.1694 0.5000 0.3825
Tb 0.5000 0.5000 0.0000
Tb 0.6694 0.0000 0.3825
Rh 0.3344 0.0000 0.1987
Rh 0.8344 0.5000 0.1987
Cl 0.1697 0.5000 0.7466
Cl 0.6697 0.0000 0.7466


Which structure is most stable, and how do the rest compare? From most to least stable: ii, i.


i.
An optimized crystal structure of Tb2RhCl. Source: Alexandria, functional PBE-GGA.

Properties
DOS(E_F)   1.3 states/eV/cell
Magnetization   0.000 μB per atom

Lattice parameters (Å, degrees): 3.9624 3.9624 22.6961 90.00 90.00 120.00
Fractional coordinates of all 12 atoms:
Tb 0.0000 0.0000 0.0000
Tb 0.0000 0.0000 0.2009
Tb 0.3333 0.6667 0.6667
Tb 0.3333 0.6667 0.8675
Tb 0.6667 0.3333 0.3333
Tb 0.6667 0.3333 0.5342
Rh 0.0000 0.0000 0.5998
Rh 0.3333 0.6667 0.2664
Rh 0.6667 0.3333 0.9331
Cl 0.0000 0.0000 0.4273
Cl 0.3333 0.6667 0.0939
Cl 0.6667 0.3333 0.7606


ii.
An optimized crystal structure of Tb2RhCl. Source: Alexandria, functional PBE-GGA.

Properties
DOS(E_F)   1.3 states/eV/cell
Magnetization   0.000 μB per atom

Lattice parameters (Å, degrees): 3.3639 3.3639 8.0145 90.00 90.00 90.00
Fractional coordinates of all 4 atoms:
Tb 0.0000 0.0000 0.2141
Tb 0.0000 0.0000 0.7859
Rh 0.5000 0.5000 0.0000
Cl 0.5000 0.5000 0.5000


Which structure is most stable, and how do the rest compare? From most to least stable: i, ii.


i.
An optimized crystal structure of TcRhCl3. Source: Alexandria, functional PBE-GGA.

Properties
DOS(E_F)   3.8 states/eV/cell
Magnetization   0.956 μB per atom

Lattice parameters (Å, degrees): 4.8035 4.8035 4.8035 90.00 90.00 90.00
Fractional coordinates of all 5 atoms:
Tc 0.0000 0.0000 0.0000
Rh 0.5000 0.5000 0.5000
Cl 0.0000 0.5000 0.5000
Cl 0.5000 0.0000 0.5000
Cl 0.5000 0.5000 0.0000


ii.
An optimized crystal structure of TcRhCl3. Source: Alexandria, functional PBE-GGA.

Properties
DOS(E_F)   8.0 states/eV/cell
Magnetization   0.933 μB per atom

Lattice parameters (Å, degrees): 4.8782 4.8782 4.8782 90.00 90.00 90.00
Fractional coordinates of all 5 atoms:
Tc 0.0000 0.0000 0.0000
Rh 0.5000 0.5000 0.5000
Cl 0.0000 0.0000 0.5000
Cl 0.0000 0.5000 0.0000
Cl 0.5000 0.0000 0.0000


Which structure is most stable, and how do the rest compare? From most to least stable: i, ii.


i.
An optimized crystal structure of TcRh3Cl. Source: Alexandria, functional PBE-GGA.

Properties
DOS(E_F)   5.8 states/eV/cell
Magnetization   0.831 μB per atom

Lattice parameters (Å, degrees): 4.3946 4.3946 4.3946 90.00 90.00 90.00
Fractional coordinates of all 5 atoms:
Tc 0.0000 0.0000 0.0000
Rh 0.0000 0.5000 0.5000
Rh 0.5000 0.0000 0.5000
Rh 0.5000 0.5000 0.0000
Cl 0.5000 0.5000 0.5000


ii.
An optimized crystal structure of TcRh3Cl. Source: Alexandria, functional PBE-GGA.

Properties
DOS(E_F)   7.0 states/eV/cell
Magnetization   0.000 μB per atom

Lattice parameters (Å, degrees): 4.7117 4.7117 4.7117 90.00 90.00 90.00
Fractional coordinates of all 5 atoms:
Tc 0.0000 0.0000 0.0000
Rh 0.0000 0.0000 0.5000
Rh 0.0000 0.5000 0.0000
Rh 0.5000 0.0000 0.0000
Cl 0.5000 0.5000 0.5000


Which structure is most stable, and how do the rest compare? From most to least stable: i, ii.


i.
An optimized crystal structure of Ti2RhCl. Source: Alexandria, functional PBE-GGA.

Properties
DOS(E_F)   21.2 states/eV/cell
Magnetization   0.000 μB per atom

Lattice parameters (Å, degrees): 6.2974 6.2974 6.2974 90.00 90.00 90.00
Fractional coordinates of all 16 atoms:
Ti 0.2500 0.2500 0.2500
Ti 0.2500 0.2500 0.7500
Ti 0.2500 0.7500 0.2500
Ti 0.2500 0.7500 0.7500
Ti 0.7500 0.2500 0.2500
Ti 0.7500 0.2500 0.7500
Ti 0.7500 0.7500 0.2500
Ti 0.7500 0.7500 0.7500
Rh 0.0000 0.0000 0.0000
Rh 0.0000 0.5000 0.5000
Rh 0.5000 0.0000 0.5000
Rh 0.5000 0.5000 0.0000
Cl 0.0000 0.0000 0.5000
Cl 0.0000 0.5000 0.0000
Cl 0.5000 0.0000 0.0000
Cl 0.5000 0.5000 0.5000


ii.
An optimized crystal structure of Ti2RhCl. Source: Alexandria, functional PBE-GGA.

Properties
DOS(E_F)   8.6 states/eV/cell
Magnetization   0.000 μB per atom

Lattice parameters (Å, degrees): 6.5157 6.5157 6.4310 90.00 90.00 90.00
Fractional coordinates of all 16 atoms:
Ti 0.2354 0.7500 0.1250
Ti 0.2500 0.2354 0.8750
Ti 0.2500 0.2646 0.3750
Ti 0.2646 0.7500 0.6250
Ti 0.7354 0.2500 0.6250
Ti 0.7500 0.7354 0.3750
Ti 0.7500 0.7646 0.8750
Ti 0.7646 0.2500 0.1250
Rh 0.0000 0.0000 0.5000
Rh 0.0000 0.5000 0.7500
Rh 0.5000 0.0000 0.2500
Rh 0.5000 0.5000 0.0000
Cl 0.0000 0.0000 0.0000
Cl 0.0000 0.5000 0.2500
Cl 0.5000 0.0000 0.7500
Cl 0.5000 0.5000 0.5000


Which structure is most stable, and how do the rest compare? From most to least stable: ii, i.


i.
An optimized crystal structure of TiRh2Cl. Source: Alexandria, functional PBE-GGA.

Properties
DOS(E_F)   10.5 states/eV/cell
Magnetization   0.000 μB per atom

Lattice parameters (Å, degrees): 5.5597 5.5597 10.7754 90.00 90.00 90.00
Fractional coordinates of all 16 atoms:
Ti 0.0000 0.0000 0.0000
Ti 0.0000 0.5000 0.2500
Ti 0.5000 0.0000 0.7500
Ti 0.5000 0.5000 0.5000
Rh 0.2431 0.2500 0.1250
Rh 0.2500 0.7431 0.3750
Rh 0.2500 0.7569 0.8750
Rh 0.2569 0.2500 0.6250
Rh 0.7431 0.7500 0.6250
Rh 0.7500 0.2431 0.8750
Rh 0.7500 0.2569 0.3750
Rh 0.7569 0.7500 0.1250
Cl 0.0000 0.0000 0.5000
Cl 0.0000 0.5000 0.7500
Cl 0.5000 0.0000 0.2500
Cl 0.5000 0.5000 0.0000


ii.
An optimized crystal structure of TiRh2Cl. Source: Alexandria, functional PBE-GGA.

Properties
DOS(E_F)   25.2 states/eV/cell
Magnetization   0.000 μB per atom

Lattice parameters (Å, degrees): 6.2637 6.2637 6.2637 90.00 90.00 90.00
Fractional coordinates of all 16 atoms:
Ti 0.0000 0.0000 0.0000
Ti 0.0000 0.5000 0.5000
Ti 0.5000 0.0000 0.5000
Ti 0.5000 0.5000 0.0000
Rh 0.2500 0.2500 0.2500
Rh 0.2500 0.2500 0.7500
Rh 0.2500 0.7500 0.2500
Rh 0.2500 0.7500 0.7500
Rh 0.7500 0.2500 0.2500
Rh 0.7500 0.2500 0.7500
Rh 0.7500 0.7500 0.2500
Rh 0.7500 0.7500 0.7500
Cl 0.0000 0.0000 0.5000
Cl 0.0000 0.5000 0.0000
Cl 0.5000 0.0000 0.0000
Cl 0.5000 0.5000 0.5000


Which structure is most stable, and how do the rest compare? From most to least stable: ii, i.


i.
An optimized crystal structure of Ti2RhCl2. Source: Alexandria, functional PBE-GGA.

Properties
DOS(E_F)   6.8 states/eV/cell
Magnetization   0.000 μB per atom

Lattice parameters (Å, degrees): 4.3426 4.3426 9.0055 90.00 90.00 90.00
Fractional coordinates of all 10 atoms:
Ti 0.0000 0.5000 0.2500
Ti 0.0000 0.5000 0.7500
Ti 0.5000 0.0000 0.2500
Ti 0.5000 0.0000 0.7500
Rh 0.0000 0.0000 0.0000
Rh 0.5000 0.5000 0.5000
Cl 0.0000 0.0000 0.3530
Cl 0.0000 0.0000 0.6470
Cl 0.5000 0.5000 0.1470
Cl 0.5000 0.5000 0.8530


ii.
An optimized crystal structure of Ti2RhCl2. Source: Alexandria, functional PBE-GGA.

Properties
DOS(E_F)   10.1 states/eV/cell
Magnetization   0.000 μB per atom

Lattice parameters (Å, degrees): 7.2491 7.2491 2.9095 90.00 90.00 90.00
Fractional coordinates of all 10 atoms:
Ti 0.1765 0.3235 0.0000
Ti 0.3235 0.8235 0.0000
Ti 0.6765 0.1765 0.0000
Ti 0.8235 0.6765 0.0000
Rh 0.0000 0.0000 0.5000
Rh 0.5000 0.5000 0.5000
Cl 0.1319 0.6319 0.5000
Cl 0.3681 0.1319 0.5000
Cl 0.6319 0.8681 0.5000
Cl 0.8681 0.3681 0.5000


Which structure is most stable, and how do the rest compare? From most to least stable: ii, i.


i.
An optimized crystal structure of TlRh2Cl. Source: Alexandria, functional PBE-GGA.

Properties
DOS(E_F)   5.2 states/eV/cell
Magnetization   0.274 μB per atom

Lattice parameters (Å, degrees): 3.2520 3.2520 6.6570 90.00 90.00 90.00
Fractional coordinates of all 4 atoms:
Tl 0.0000 0.0000 0.0000
Rh 0.5000 0.5000 0.2416
Rh 0.5000 0.5000 0.7584
Cl 0.0000 0.0000 0.5000


ii.
An optimized crystal structure of TlRh2Cl. Source: Alexandria, functional PBE-GGA.

Properties
DOS(E_F)   15.7 states/eV/cell
Magnetization   0.108 μB per atom

Lattice parameters (Å, degrees): 3.1858 3.1858 24.0107 90.00 90.00 120.00
Fractional coordinates of all 12 atoms:
Tl 0.0000 0.0000 0.0000
Tl 0.3333 0.6667 0.6667
Tl 0.6667 0.3333 0.3333
Rh 0.0000 0.0000 0.2461
Rh 0.0000 0.0000 0.7539
Rh 0.3333 0.6667 0.4205
Rh 0.3333 0.6667 0.9128
Rh 0.6667 0.3333 0.0872
Rh 0.6667 0.3333 0.5795
Cl 0.0000 0.0000 0.5000
Cl 0.3333 0.6667 0.1667
Cl 0.6667 0.3333 0.8333


iii.
An optimized crystal structure of TlRh2Cl. Source: Alexandria, functional PBE-GGA.

Properties
DOS(E_F)   12.0 states/eV/cell
Magnetization   0.195 μB per atom

Lattice parameters (Å, degrees): 3.8233 3.8233 9.9142 90.00 90.00 90.00
Fractional coordinates of all 8 atoms:
Tl 0.0000 0.0000 0.0000
Tl 0.5000 0.5000 0.5000
Rh 0.0000 0.0000 0.5000
Rh 0.0000 0.5000 0.2500
Rh 0.5000 0.0000 0.7500
Rh 0.5000 0.5000 0.0000
Cl 0.0000 0.5000 0.7500
Cl 0.5000 0.0000 0.2500


iv.
An optimized crystal structure of TlRh2Cl. Source: Alexandria, functional PBE-GGA.

Properties
DOS(E_F)   4.0 states/eV/cell
Magnetization   0.000 μB per atom

Lattice parameters (Å, degrees): 4.4917 3.0258 5.2537 90.00 90.28 90.00
Fractional coordinates of all 4 atoms:
Tl 0.0000 0.0000 0.0000
Rh 0.5000 0.0000 0.5000
Rh 0.5000 0.5000 0.0000
Cl 0.0000 0.5000 0.5000


Which structure is most stable, and how do the rest compare? From most to least stable: ii, iv, i, iii.


i.
An optimized crystal structure of TlRh2Cl. Source: Alexandria, functional PBE-GGA.

Properties
DOS(E_F)   4.7 states/eV/cell
Magnetization   0.000 μB per atom

Lattice parameters (Å, degrees): 3.0127 3.5490 7.3638 90.00 90.53 90.00
Fractional coordinates of all 4 atoms:
Tl 0.0000 0.0000 0.0000
Rh 0.4947 0.5000 0.7743
Rh 0.9905 0.0000 0.5864
Cl 0.9845 0.5000 0.3674


ii.
An optimized crystal structure of TlRh2Cl. Source: Alexandria, functional PBE-GGA.

Properties
DOS(E_F)   5.0 states/eV/cell
Magnetization   0.000 μB per atom

Lattice parameters (Å, degrees): 13.5960 3.1219 3.8783 90.00 92.98 90.00
Fractional coordinates of all 8 atoms:
Tl 0.0000 0.0000 0.0000
Tl 0.5000 0.5000 0.0000
Rh 0.0925 0.5000 0.5183
Rh 0.3918 0.0000 0.4749
Rh 0.5925 0.0000 0.5183
Rh 0.8918 0.5000 0.4749
Cl 0.2603 0.5000 0.4348
Cl 0.7603 0.0000 0.4348


iii.
An optimized crystal structure of TlRh2Cl. Source: Alexandria, functional PBE-GGA.

Properties
DOS(E_F)   3.7 states/eV/cell
Magnetization   0.000 μB per atom

Lattice parameters (Å, degrees): 3.0647 3.8611 6.7507 90.00 90.00 90.00
Fractional coordinates of all 4 atoms:
Tl 0.0000 0.0000 0.0000
Rh 0.5000 0.5000 0.2048
Rh 0.5000 0.5000 0.7952
Cl 0.0000 0.5000 0.5000


iv.
An optimized crystal structure of TlRh2Cl. Source: Alexandria, functional PBE-GGA.

Properties
DOS(E_F)   2.8 states/eV/cell
Magnetization   0.000 μB per atom

Lattice parameters (Å, degrees): 4.7823 4.7823 15.2265 90.00 90.00 90.00
Fractional coordinates of all 16 atoms:
Tl 0.0000 0.0000 0.0000
Tl 0.0000 0.5000 0.2500
Tl 0.5000 0.0000 0.7500
Tl 0.5000 0.5000 0.5000
Rh 0.1136 0.2500 0.6250
Rh 0.2500 0.6136 0.8750
Rh 0.2500 0.8864 0.3750
Rh 0.3864 0.2500 0.1250
Rh 0.6136 0.7500 0.1250
Rh 0.7500 0.1136 0.3750
Rh 0.7500 0.3864 0.8750
Rh 0.8864 0.7500 0.6250
Cl 0.0000 0.0000 0.5000
Cl 0.0000 0.5000 0.7500
Cl 0.5000 0.0000 0.2500
Cl 0.5000 0.5000 0.0000


Which structure is most stable, and how do the rest compare? From most to least stable: i, ii, iii, iv.


i.
An optimized crystal structure of TlRh2Cl. Source: Alexandria, functional PBE-GGA.

Properties
DOS(E_F)   9.8 states/eV/cell
Magnetization   0.000 μB per atom

Lattice parameters (Å, degrees): 3.0018 4.1187 12.1081 90.00 90.00 90.00
Fractional coordinates of all 8 atoms:
Tl 0.0000 0.0000 0.0000
Tl 0.5000 0.5000 0.5000
Rh 0.0000 0.0000 0.5977
Rh 0.0000 0.5000 0.2869
Rh 0.5000 0.0000 0.7869
Rh 0.5000 0.5000 0.0977
Cl 0.0000 0.5000 0.7756
Cl 0.5000 0.0000 0.2756


ii.
An optimized crystal structure of TlRh2Cl. Source: Alexandria, functional PBE-GGA.

Properties
DOS(E_F)   4.1 states/eV/cell
Magnetization   0.568 μB per atom

Lattice parameters (Å, degrees): 3.0944 3.0944 7.9383 90.00 90.00 90.00
Fractional coordinates of all 4 atoms:
Tl 0.0000 0.0000 0.0000
Rh 0.0000 0.0000 0.5496
Rh 0.5000 0.5000 0.7481
Cl 0.5000 0.5000 0.3368


Which structure is most stable, and how do the rest compare? From most to least stable: ii, i.